No. 1
This record from Alexandria describes a geometry-optimized Y2HfSc structure. The functional is PBE-GGA.

CIF file:
```
data_Y2HfSc
_cell_length_a 3.3745
_cell_length_b 3.3745
_cell_length_c 33.1205
_cell_angle_alpha 90.00
_cell_angle_beta 90.00
_cell_angle_gamma 120.00
_symmetry_space_group_name_H-M 'R -3 m'
_symmetry_Int_Tables_number 166
_symmetry_space_group_name_Hall '-R 3 2"'
loop_
_atom_site_label
_atom_site_type_symbol
_atom_site_fract_x
_atom_site_fract_y
_atom_site_fract_z
Y1 Y 0.0000 0.0000 0.2474
Hf1 Hf 0.0000 0.0000 0.5000
Sc1 Sc 0.0000 0.0000 0.0000
```

Results
Relative energy among the computed polymorphs in meV/atom: 19
Total magnetic moment in μB per formula unit: 0.00
DFT formation energy in eV per atom: 0.14

---

No. 2
This record from Alexandria describes a geometry-optimized YHfSc structure. The functional is PBE-GGA.

CIF file:
```
data_YHfSc
_cell_length_a 3.334
_cell_length_b 4.506
_cell_length_c 10.359
_cell_angle_alpha 90.00
_cell_angle_beta 90.00
_cell_angle_gamma 90.00
_symmetry_space_group_name_H-M 'P m m n'
_symmetry_Int_Tables_number 59
loop_
_symmetry_equiv_pos_as_xyz
'x,y,z'
'-x,-y,-z'
'-x+1/2,-y+1/2,z'
'x+1/2,y+1/2,-z'
'x+1/2,-y,-z'
'-x+1/2,y,z'
'-x,y+1/2,-z'
'x,-y+1/2,z'
loop_
_atom_site_label
_atom_site_type_symbol
_atom_site_fract_x
_atom_site_fract_y
_atom_site_fract_z
Y1 Y 0.250 0.250 0.101
Hf1 Hf 0.250 0.250 0.427
Sc1 Sc 0.250 0.250 0.722
```

Results
Relative energy among the computed polymorphs in meV/atom: 12
Total magnetic moment in μB per formula unit: 0.00
DFT formation energy in eV per atom: 0.09

---

No. 3
This record from Alexandria describes a geometry-optimized YHfSc structure. The functional is PBE-GGA.

CIF file:
```
data_YHfSc
_cell_length_a 6.057
_cell_length_b 9.500
_cell_length_c 6.065
_cell_angle_alpha 90.00
_cell_angle_beta 116.64
_cell_angle_gamma 90.00
_symmetry_space_group_name_H-M 'P 1 21/c 1'
_symmetry_Int_Tables_number 14
loop_
_symmetry_equiv_pos_as_xyz
'x,y,z'
'-x,-y,-z'
'-x,y+1/2,-z+1/2'
'x,-y+1/2,z+1/2'
loop_
_atom_site_label
_atom_site_type_symbol
_atom_site_fract_x
_atom_site_fract_y
_atom_site_fract_z
Y1 Y 0.174 0.137 0.149
Hf1 Hf 0.336 0.714 0.880
Sc1 Sc 0.284 0.024 0.706
```

Results
Relative energy among the computed polymorphs in meV/atom: 52
Total magnetic moment in μB per formula unit: 0.00
DFT formation energy in eV per atom: 0.13

---

No. 4
This record from Alexandria describes a geometry-optimized Y2Hf2Sc structure. The functional is PBE-GGA.

CIF file:
```
data_Y2Hf2Sc
_cell_length_a 8.571
_cell_length_b 8.571
_cell_length_c 3.668
_cell_angle_alpha 90.00
_cell_angle_beta 90.00
_cell_angle_gamma 90.00
_symmetry_space_group_name_H-M 'P 4/m b m'
_symmetry_Int_Tables_number 127
_symmetry_space_group_name_Hall '-P 4 2ab'
loop_
_atom_site_label
_atom_site_type_symbol
_atom_site_fract_x
_atom_site_fract_y
_atom_site_fract_z
Y1 Y 0.172 0.328 0.000
Hf1 Hf 0.123 0.623 0.500
Sc1 Sc 0.000 0.000 0.500
```

Results
Total magnetic moment in μB per formula unit: 0.00
DFT formation energy in eV per atom: 0.27

---

No. 5
This record from Alexandria describes a geometry-optimized Y2HfSc structure. The functional is PBE-GGA.

CIF file:
```
data_Y2HfSc
_cell_length_a 4.790
_cell_length_b 4.790
_cell_length_c 4.716
_cell_angle_alpha 90.00
_cell_angle_beta 90.00
_cell_angle_gamma 90.00
_symmetry_space_group_name_H-M 'P 4/m m m'
_symmetry_Int_Tables_number 123
_symmetry_space_group_name_Hall '-P 4 2'
loop_
_atom_site_label
_atom_site_type_symbol
_atom_site_fract_x
_atom_site_fract_y
_atom_site_fract_z
Y1 Y 0.000 0.500 0.000
Hf1 Hf 0.000 0.000 0.500
Sc1 Sc 0.500 0.500 0.500
```

Results
Relative energy among the computed polymorphs in meV/atom: 24
Total magnetic moment in μB per formula unit: 0.00
DFT formation energy in eV per atom: 0.15

---

No. 6
This record from Alexandria describes a geometry-optimized Y2HfSc2 structure. The functional is PBE-GGA.

CIF file:
```
data_Y2HfSc2
_cell_length_a 8.667
_cell_length_b 8.667
_cell_length_c 3.547
_cell_angle_alpha 90.00
_cell_angle_beta 90.00
_cell_angle_gamma 90.00
_symmetry_space_group_name_H-M 'P 4/m b m'
_symmetry_Int_Tables_number 127
_symmetry_space_group_name_Hall '-P 4 2ab'
loop_
_atom_site_label
_atom_site_type_symbol
_atom_site_fract_x
_atom_site_fract_y
_atom_site_fract_z
Y1 Y 0.175 0.325 0.000
Hf1 Hf 0.000 0.000 0.500
Sc1 Sc 0.126 0.626 0.500
```

Results
Total magnetic moment in μB per formula unit: 0.64
DFT formation energy in eV per atom: 0.27